Entry 1:
First-principles (GGA-PBE) data for crystalline OsPtS2 at its relaxed geometry, as listed in the Open Quantum Materials Database.

Cell: 5.869 6.180 4.226 Å, 90.00 90.00 90.00°
Fractional positions:
Os (0.125, 0.000, 0.000)
Os (0.875, 0.000, 0.500)
Pt (0.500, 0.148, 0.250)
Pt (0.500, 0.852, 0.750)
S (0.000, 0.298, 0.750)
S (0.000, 0.702, 0.250)
S (0.432, 0.500, 0.500)
S (0.568, 0.500, 0.000)

## Properties
Symmetry: P222_1, No. 17
Calculated total energy in eV/atom: -5.92



Entry 2:
First-principles (GGA-PBE) data for crystalline ScOs2Pt at its relaxed geometry, as listed in the Open Quantum Materials Database.

Cell: 4.471 4.471 4.471 Å, 60.00 60.00 60.00°
Fractional positions:
Sc (0.000, 0.000, 0.000)
Os (0.500, 0.500, 0.500)
Os (0.750, 0.750, 0.750)
Pt (0.250, 0.250, 0.250)

## Properties
Symmetry: F-43m, No. 216
Energy relative to the elements in eV/atom: 0.026



Entry 3:
First-principles (GGA-PBE) data for crystalline ScOsPt2 at its relaxed geometry, as listed in the Open Quantum Materials Database.

Cell: 4.493 4.493 4.493 Å, 60.00 60.00 60.00°
Fractional positions:
Sc (0.000, 0.000, 0.000)
Os (0.250, 0.250, 0.250)
Pt (0.500, 0.500, 0.500)
Pt (0.750, 0.750, 0.750)

## Properties
Symmetry: F-43m, No. 216
Energy relative to the elements in eV/atom: -0.194



Entry 4:
First-principles (GGA-PBE) data for crystalline Sc2OsPt at its relaxed geometry, as listed in the Open Quantum Materials Database.

Cell: 4.515 4.515 3.323 Å, 90.00 90.00 90.29°
Fractional positions:
Sc (0.000, 0.500, 0.000)
Sc (0.500, 0.000, 0.000)
Os (0.000, 0.000, 0.500)
Pt (0.500, 0.500, 0.500)

## Properties
Symmetry: Cmmm, No. 65
Distance to the lowest polymorph of the same formula in kJ per mole of atoms: 3.2
Energy relative to the elements in eV/atom: -0.853



Entry 5:
First-principles (GGA-PBE) data for crystalline Sc2OsPt at its relaxed geometry, as listed in the Open Quantum Materials Database.

Cell: 3.265 3.265 6.384 Å, 90.00 90.00 90.00°
Fractional positions:
Sc (0.000, 0.000, 0.241)
Sc (0.000, 0.000, 0.759)
Os (0.500, 0.500, 0.000)
Pt (0.500, 0.500, 0.500)

## Properties
Symmetry: P4/mmm, No. 123
Distance to the lowest polymorph of the same formula in kJ per mole of atoms: 0.0
Energy relative to the elements in eV/atom: -0.887



Entry 6:
First-principles (GGA-PBE) data for crystalline Sc2OsPt at its relaxed geometry, as listed in the Open Quantum Materials Database.

Cell: 4.578 4.578 4.578 Å, 60.00 60.00 60.00°
Fractional positions:
Sc (0.250, 0.250, 0.250)
Sc (0.750, 0.750, 0.750)
Os (0.000, 0.000, 0.000)
Pt (0.500, 0.500, 0.500)

## Properties
Symmetry: Fm-3m, No. 225
Distance to the lowest polymorph of the same formula in kJ per mole of atoms: 4.0
Energy relative to the elements in eV/atom: -0.845



Entry 7:
First-principles (GGA-PBE) data for crystalline Sc5OsPt4 at its relaxed geometry, as listed in the Open Quantum Materials Database.

Cell: 3.261 3.261 16.453 Å, 90.00 90.00 90.00°
Fractional positions:
Sc (0.000, 0.000, 0.000)
Sc (0.000, 0.000, 0.203)
Sc (0.000, 0.000, 0.406)
Sc (0.000, 0.000, 0.594)
Sc (0.000, 0.000, 0.797)
Os (0.500, 0.500, 0.500)
Pt (0.500, 0.500, 0.103)
Pt (0.500, 0.500, 0.303)
Pt (0.500, 0.500, 0.697)
Pt (0.500, 0.500, 0.897)

## Properties
Symmetry: P4/mmm, No. 123
Energy relative to the elements in eV/atom: -1.089



Entry 8:
First-principles (GGA-PBE) data for crystalline Sc2OsPt at its relaxed geometry, as listed in the Open Quantum Materials Database.

Cell: 4.573 4.573 4.573 Å, 119.78 119.78 90.38°
Fractional positions:
Sc (0.250, 0.750, 0.500)
Sc (0.750, 0.250, 0.500)
Os (0.000, 0.000, 0.000)
Pt (0.500, 0.500, 0.000)

## Properties
Symmetry: I4/mmm, No. 139
Distance to the lowest polymorph of the same formula in kJ per mole of atoms: 4.0
Energy relative to the elements in eV/atom: -0.845



Entry 9:
First-principles (GGA-PBE) data for crystalline Sn2Os3Pt2 at its relaxed geometry, as listed in the Open Quantum Materials Database.

Cell: 4.312 4.312 16.379 Å, 90.00 90.00 120.00°
Fractional positions:
Sn (0.333, 0.667, 0.078)
Sn (0.333, 0.667, 0.422)
Sn (0.667, 0.333, 0.578)
Sn (0.667, 0.333, 0.922)
Os (0.000, 0.000, 0.174)
Os (0.000, 0.000, 0.326)
Os (0.000, 0.000, 0.674)
Os (0.000, 0.000, 0.826)
Os (0.333, 0.667, 0.750)
Os (0.667, 0.333, 0.250)
Pt (0.000, 0.000, 0.000)
Pt (0.000, 0.000, 0.500)
Pt (0.333, 0.667, 0.250)
Pt (0.667, 0.333, 0.750)

## Properties
Symmetry: P6_3/mmc, No. 194
Calculated total energy in eV/atom: -7.41



Entry 10:
First-principles (GGA-PBE) data for crystalline SnOsPt at its relaxed geometry, as listed in the Open Quantum Materials Database.

Cell: 4.381 4.381 4.381 Å, 60.00 60.00 60.00°
Fractional positions:
Sn (0.000, 0.000, 0.000)
Os (0.750, 0.750, 0.750)
Pt (0.500, 0.500, 0.500)

## Properties
Symmetry: F-43m, No. 216
Distance to the lowest polymorph of the same formula in kJ per mole of atoms: 0.0



Entry 11:
First-principles (GGA-PBE) data for crystalline Ta2Sn2OsPt at its relaxed geometry, as listed in the Open Quantum Materials Database.

Cell: 7.636 7.636 7.636 Å, 131.69 131.69 70.71°
Fractional positions:
Ta (0.117, 0.125, 0.492)
Ta (0.375, 0.883, 0.008)
Ta (0.633, 0.625, 0.508)
Ta (0.875, 0.367, 0.992)
Sn (0.124, 0.625, 0.999)
Sn (0.375, 0.374, 0.499)
Sn (0.626, 0.125, 0.001)
Sn (0.875, 0.876, 0.501)
Os (0.000, 0.000, 0.000)
Os (0.750, 0.250, 0.500)
Pt (0.250, 0.750, 0.500)
Pt (0.500, 0.500, 0.000)

## Properties
Symmetry: I-42d, No. 122
Calculated total energy in eV/atom: -8.53



Entry 12:
First-principles (GGA-PBE) data for crystalline Sr3Os2Pt2 at its relaxed geometry, as listed in the Open Quantum Materials Database.

Cell: 8.868 8.868 8.868 Å, 30.50 30.50 30.50°
Fractional positions:
Sr (0.000, 0.000, 0.000)
Sr (0.248, 0.248, 0.248)
Sr (0.745, 0.745, 0.745)
Os (0.504, 0.504, 0.504)
Os (0.852, 0.852, 0.852)
Pt (0.135, 0.135, 0.135)
Pt (0.618, 0.618, 0.618)

## Properties
Symmetry: R3m, No. 160
Calculated total energy in eV/atom: -5.54